# Mn3Mo

Crystalline Mn3Mo at its relaxed geometry (GGA-PBE, Alexandria).

Calculated values
Its raw total energy is -9.43 eV/atom. As for the crystal system: orthorhombic. The calculation puts the energy relative to the elements at 156 meV/atom.

Cell lengths 4.6824, 8.2920, 5.0291 Å; angles 90.00, 90.00, 90.00 degrees
Sites, in units of the cell vectors:
Mo 0.0338 0.7500 0.6110
Mo 0.4662 0.2500 0.1110
Mo 0.5338 0.7500 0.8890
Mo 0.9662 0.2500 0.3890
Mn 0.9359 0.2500 0.8852
Mn 0.2826 0.9782 0.3812
Mn 0.2826 0.5218 0.3812
Mn 0.2174 0.4782 0.8812
Mn 0.2174 0.0218 0.8812
Mn 0.5641 0.7500 0.3852
Mn 0.4359 0.2500 0.6148
Mn 0.7826 0.9782 0.1188
Mn 0.7826 0.5218 0.1188
Mn 0.7174 0.4782 0.6188
Mn 0.7174 0.0218 0.6188
Mn 0.0641 0.7500 0.1148